Density functional theory data (PBE) for a geometry-optimized PmGeRh structure.

POSCAR file:
```
PmGeRh
1.0
7.184 0.000 0.000
0.000 4.440 0.000
0.000 0.000 7.494
Pm Ge Rh
4 4 4
Cartesian
0.063 1.110 1.424
3.529 3.330 5.171
3.654 1.110 2.323
7.121 3.330 6.070
1.455 1.110 4.516
2.137 3.330 0.769
5.046 1.110 6.725
5.729 3.330 2.978
1.107 3.330 3.208
2.485 1.110 6.955
4.699 3.330 0.540
6.077 1.110 4.287
```

Output
The value obtained for the energy of formation from the pure elements is -0.9196 eV/atom. As for the distance to the lowest polymorph of the same formula: 0 meV/atom. The calculation puts the density of states at the Fermi level at 0.65 states/eV per atom. The volume comes out at 19.9 A^3/atom. Its total magnetic moment is 0.00 μB per formula unit.